# PBE-GGA HoErSi2Pt, relaxed
data_HoErSi2Pt
_chemical_formula_sum 'Ho4 Er4 Si8 Pt4'
_cell_length_a 10.280
_cell_length_b 4.276
_cell_length_c 10.103
_cell_angle_alpha 90.00
_cell_angle_beta 117.73
_cell_angle_gamma 90.00
_symmetry_space_group_name_H-M 'C 1 2/m 1'
_symmetry_Int_Tables_number 12
_symmetry_space_group_name_Hall '-C 2y'
loop_
_atom_site_label
_atom_site_fract_x
_atom_site_fract_y
_atom_site_fract_z
Ho1 0.189 0.000 0.108
Er1 0.007 0.000 0.326
Si1 0.018 0.500 0.887
Si2 0.139 0.500 0.557
Pt1 0.228 0.500 0.343
# VASP energy in eV for the cell shown: -125.0

# PBE-GGA PuScSi, relaxed
data_PuScSi
_chemical_formula_sum 'Pu4 Sc4 Si4'
_cell_length_a 6.621
_cell_length_b 6.621
_cell_length_c 6.621
_cell_angle_alpha 90.00
_cell_angle_beta 90.00
_cell_angle_gamma 90.00
_symmetry_space_group_name_H-M 'F -4 3 m'
_symmetry_Int_Tables_number 216
_symmetry_space_group_name_Hall 'F -4 2 3'
loop_
_atom_site_label
_atom_site_fract_x
_atom_site_fract_y
_atom_site_fract_z
Pu1 0.000 0.000 0.000
Sc1 0.000 0.000 0.500
Si1 0.250 0.250 0.250
# VASP energy in eV for the cell shown: -107.1

# PBE-GGA ZrCoPbAu, relaxed
data_ZrCoPbAu
_chemical_formula_sum 'Zr4 Co4 Pb4 Au4'
_cell_length_a 6.719
_cell_length_b 6.719
_cell_length_c 6.719
_cell_angle_alpha 90.00
_cell_angle_beta 90.00
_cell_angle_gamma 90.00
_symmetry_space_group_name_H-M 'F -4 3 m'
_symmetry_Int_Tables_number 216
_symmetry_space_group_name_Hall 'F -4 2 3'
loop_
_atom_site_label
_atom_site_fract_x
_atom_site_fract_y
_atom_site_fract_z
Zr1 0.000 0.000 0.000
Co1 0.000 0.000 0.500
Pb1 0.250 0.250 0.750
Au1 0.250 0.250 0.250
# VASP energy in eV for the cell shown: -89.7

# PBE-GGA TbHo2In3Ir2Pd, relaxed
data_TbHo2In3Ir2Pd
_chemical_formula_sum 'Tb2 Ho4 In6 Ir4 Pd2'
_cell_length_a 3.874
_cell_length_b 13.199
_cell_length_c 7.583
_cell_angle_alpha 90.00
_cell_angle_beta 90.00
_cell_angle_gamma 90.00
_symmetry_space_group_name_H-M 'A m m 2'
_symmetry_Int_Tables_number 38
_symmetry_space_group_name_Hall 'A 2 -2'
loop_
_atom_site_label
_atom_site_fract_x
_atom_site_fract_y
_atom_site_fract_z
Tb1 0.000 0.000 0.000
Ho1 0.000 0.205 0.618
In1 0.500 0.000 0.670
In2 0.500 0.130 0.282
Ir1 0.500 0.168 0.911
Pd1 0.000 0.000 0.412
# VASP energy in eV for the cell shown: -103.4

# PBE-GGA Hf3Si5Ag, relaxed
data_Hf3Si5Ag
_chemical_formula_sum 'Hf3 Si5 Ag1'
_cell_length_a 5.7411
_cell_length_b 5.7411
_cell_length_c 6.6198
_cell_angle_alpha 90.00
_cell_angle_beta 90.00
_cell_angle_gamma 120.00
_symmetry_space_group_name_H-M 'P 6/m m m'
_symmetry_Int_Tables_number 191
_symmetry_space_group_name_Hall '-P 6 2'
loop_
_atom_site_label
_atom_site_fract_x
_atom_site_fract_y
_atom_site_fract_z
Hf1 0.0000 0.5000 0.0000
Si1 0.0000 0.0000 0.0000
Si2 0.3333 0.6667 0.3290
Ag1 0.0000 0.0000 0.5000
# VASP energy in eV for the cell shown: -57.5

# PBE-GGA GdTm2Mg3Ir2Pd, relaxed
data_GdTm2Mg3Ir2Pd
_chemical_formula_sum 'Gd2 Tm4 Mg6 Ir4 Pd2'
_cell_length_a 4.001
_cell_length_b 12.722
_cell_length_c 7.304
_cell_angle_alpha 90.00
_cell_angle_beta 90.00
_cell_angle_gamma 90.00
_symmetry_space_group_name_H-M 'A m m 2'
_symmetry_Int_Tables_number 38
_symmetry_space_group_name_Hall 'A 2 -2'
loop_
_atom_site_label
_atom_site_fract_x
_atom_site_fract_y
_atom_site_fract_z
Gd1 0.000 0.000 0.000
Tm1 0.000 0.207 0.375
Mg1 0.500 0.000 0.334
Mg2 0.500 0.125 0.707
Ir1 0.500 0.169 0.084
Pd1 0.000 0.000 0.579
# VASP energy in eV for the cell shown: -95.0

# PBE-GGA Nd2Sm2CI2Br2Cl, relaxed
data_Nd2Sm2CI2Br2Cl
_chemical_formula_sum 'Nd4 Sm4 C2 I4 Br4 Cl2'
_cell_length_a 18.644
_cell_length_b 3.971
_cell_length_c 8.295
_cell_angle_alpha 90.00
_cell_angle_beta 101.39
_cell_angle_gamma 90.00
_symmetry_space_group_name_H-M 'C 1 2/m 1'
_symmetry_Int_Tables_number 12
_symmetry_space_group_name_Hall '-C 2y'
loop_
_atom_site_label
_atom_site_fract_x
_atom_site_fract_y
_atom_site_fract_z
Nd1 0.004 0.000 0.290
Sm1 0.136 0.500 0.568
C1 0.000 0.500 0.500
I1 0.167 0.000 0.861
Br1 0.171 0.000 0.332
Cl1 0.000 0.500 0.000
# VASP energy in eV for the cell shown: -99.8

# PBE-GGA AlAgBi2, relaxed
data_AlAgBi2
_chemical_formula_sum 'Al4 Ag4 Bi8'
_cell_length_a 7.421
_cell_length_b 7.421
_cell_length_c 7.421
_cell_angle_alpha 90.00
_cell_angle_beta 90.00
_cell_angle_gamma 90.00
_symmetry_space_group_name_H-M 'F -4 3 m'
_symmetry_Int_Tables_number 216
_symmetry_space_group_name_Hall 'F -4 2 3'
loop_
_atom_site_label
_atom_site_fract_x
_atom_site_fract_y
_atom_site_fract_z
Al1 0.000 0.000 0.000
Ag1 0.250 0.250 0.250
Bi1 0.000 0.000 0.500
Bi2 0.250 0.250 0.750
# VASP energy in eV for the cell shown: -53.9

# PBE-GGA Li2PdPb, relaxed
data_Li2PdPb
_chemical_formula_sum 'Li8 Pd4 Pb4'
_cell_length_a 6.481
_cell_length_b 6.481
_cell_length_c 6.481
_cell_angle_alpha 90.00
_cell_angle_beta 90.00
_cell_angle_gamma 90.00
_symmetry_space_group_name_H-M 'F -4 3 m'
_symmetry_Int_Tables_number 216
_symmetry_space_group_name_Hall 'F -4 2 3'
loop_
_atom_site_label
_atom_site_fract_x
_atom_site_fract_y
_atom_site_fract_z
Li1 0.000 0.000 0.000
Li2 0.250 0.250 0.250
Pd1 0.250 0.250 0.750
Pb1 0.000 0.000 0.500
# VASP energy in eV for the cell shown: -57.8

# PBE-GGA InAu15, relaxed
data_InAu15
_chemical_formula_sum 'In2 Au30'
_cell_length_a 4.108
_cell_length_b 4.108
_cell_length_c 45.637
_cell_angle_alpha 90.00
_cell_angle_beta 90.00
_cell_angle_gamma 90.00
_symmetry_space_group_name_H-M 'P m m a'
_symmetry_Int_Tables_number 51
_symmetry_space_group_name_Hall '-P 2a 2a'
loop_
_atom_site_label
_atom_site_fract_x
_atom_site_fract_y
_atom_site_fract_z
In1 0.250 0.000 0.145
Au1 0.250 0.000 0.245
Au2 0.250 0.000 0.338
Au3 0.250 0.000 0.431
Au4 0.250 0.000 0.523
Au5 0.250 0.000 0.616
Au6 0.250 0.000 0.709
Au7 0.250 0.000 0.802
Au8 0.250 0.500 0.198
Au9 0.250 0.500 0.291
Au10 0.250 0.500 0.384
Au11 0.250 0.500 0.477
Au12 0.250 0.500 0.569
Au13 0.250 0.500 0.662
Au14 0.250 0.500 0.755
Au15 0.250 0.500 0.850
# VASP energy in eV for the cell shown: -103.2